Entry from the Alexandria database: CeTlSn2I8 after structural relaxation (GGA-PBE).

- calculated volume (Å³/cell) = 559
- space group = No. 2
- ΔE_f (raw) (eV/atom) = -0.78
- DOS at the Fermi energy (states/eV/f.u.) = 8.0

Cell: 7.400 7.863 9.612 Å, 89.98 89.96 89.22°
Positions (direct):
Ce 0.000 0.000 0.000
Tl 0.000 0.000 0.500
Sn 0.500 0.500 0.254
Sn 0.500 0.500 0.746
I 0.245 0.332 0.000
I 0.253 0.839 0.230
I 0.253 0.840 0.770
I 0.270 0.363 0.500
I 0.730 0.637 0.500
I 0.747 0.160 0.230
I 0.747 0.161 0.770
I 0.755 0.668 0.000